(1)
Below is a relaxed structure of TiH3Os, with properties calculated at the PBE-GGA level.

Lattice parameters (Å, degrees): 3.4684 3.4684 3.4684 90.00 90.00 90.00
With the nearest neighbours (Å) after each atom.
Positions (direct):
H: 0.0000 0.5000 0.0000  2 Os 1.73
H: 0.0000 0.0000 0.5000  2 Os 1.73
H: 0.5000 0.0000 0.0000  2 Os 1.73
Os: 0.0000 0.0000 0.0000  6 H 1.73
Ti: 0.5000 0.5000 0.5000  12 H 2.45

Results
The volume comes out at 8.34 A^3/atom. As for the density of states at the Fermi level: 5.47 states/eV per cell. The spin magnetization comes out at 0.000 μB/atom. As for the raw total energy: -28.717 eV per cell.

(2)
Below is a relaxed structure of TiH3Os, with properties calculated at the PBE-GGA level.

Lattice parameters (Å, degrees): 3.4165 3.4165 3.4165 90.00 90.00 90.00
With the nearest neighbours (Å) after each atom.
Positions (direct):
H: 0.0000 0.5000 0.0000  2 Ti 1.71
H: 0.0000 0.0000 0.5000  2 Ti 1.71
H: 0.5000 0.0000 0.0000  2 Ti 1.71
Os: 0.5000 0.5000 0.5000  12 H 2.42
Ti: 0.0000 0.0000 0.0000  6 H 1.71

Results
The volume comes out at 7.98 A^3/atom. As for the density of states at the Fermi level: 2.17 states/eV per cell. The spin magnetization comes out at 0.286 μB/atom. As for the raw total energy: -26.684 eV per cell.

Q: The highest volume belongs to which entry?
A: number 1